Entry 1:
Material: Ac8PrDy5
Method: DFT, PBE
State: relaxed Values from VASP.

Results
energy of formation from the pure elements: 0.143 eV per atom

The structure in Quantum ESPRESSO input format:
```
&SYSTEM
  ibrav = 0, nat = 14, ntyp = 3
/
ATOMIC_SPECIES
Ac 227.00 Ac.upf
Pr 140.91 Pr.upf
Dy 162.50 Dy.upf
CELL_PARAMETERS angstrom
8.993 0.000 0.000
0.515 8.982 0.000
4.411 3.990 7.056
ATOMIC_POSITIONS angstrom
Ac 0.000 0.000 0.000
Ac 2.691 7.792 2.683
Ac 5.369 10.593 3.762
Ac 7.575 4.614 5.215
Ac 5.933 7.908 0.439
Ac 10.410 6.965 6.719
Ac 9.355 10.820 3.310
Ac 8.909 5.197 1.281
Pr 5.065 7.200 5.385
Dy 2.610 2.620 1.150
Dy 7.563 9.676 6.613
Dy 5.199 5.094 2.548
Dy 7.900 7.712 3.567
Dy 11.210 4.447 4.158
```


Entry 2:
Material: Pm2PO6
Method: DFT, PBE
State: relaxed Values from VASP.

Results
energy relative to the elements, uncorrected: -2.691 eV/atom

The structure in Quantum ESPRESSO input format:
```
&SYSTEM
  ibrav = 0, nat = 18, ntyp = 3
/
ATOMIC_SPECIES
Pm 145.00 Pm.upf
P 30.97 P.upf
O 16.00 O.upf
CELL_PARAMETERS angstrom
5.326 0.000 0.000
0.000 5.955 0.000
-4.605 0.000 7.275
ATOMIC_POSITIONS angstrom
Pm -0.019 0.520 1.818
Pm -2.322 2.458 5.455
Pm 3.043 3.498 1.820
Pm 0.740 5.435 5.457
P 2.663 0.000 0.000
P 0.360 2.978 3.637
O -3.412 0.867 6.974
O -1.110 2.111 3.337
O -2.722 4.454 6.852
O -0.419 4.478 3.215
O -1.501 0.226 5.666
O 0.801 2.752 2.028
O -0.081 3.203 5.247
O 2.222 5.730 1.609
O 1.140 1.477 4.060
O 3.442 1.501 0.423
O 1.831 3.844 3.938
O 4.133 5.089 0.300
```